Entry 1:
The following is a DFT calculation (GGA-PBE) of a relaxed structure of LaDy4Y6.

Summary:
Density = 5.719 g/cm³

Unit cell a=9.138 b=9.138 c=5.309 alpha=90.00 beta=90.00 gamma=120.00
Element x y z (fractional)
La: 0.000 0.000 0.000
Dy: 0.333 0.667 0.000
Dy: 0.407 0.203 0.500
Dy: 0.797 0.203 0.500
Dy: 0.797 0.593 0.500
Y: 0.208 0.416 0.500
Y: 0.208 0.792 0.500
Y: 0.536 0.071 0.000
Y: 0.536 0.464 0.000
Y: 0.584 0.792 0.500
Y: 0.929 0.464 0.000



Entry 2:
The following is a DFT calculation (GGA-PBE) of a relaxed structure of La4DyY15.

Summary:
Density = 5.125 g/cm³

Unit cell a=5.115 b=5.115 c=25.415 alpha=90.00 beta=90.00 gamma=90.00
Element x y z (fractional)
La: 0.000 0.000 0.101
La: 0.000 0.000 0.301
La: 0.000 0.000 0.699
La: 0.000 0.000 0.899
Dy: 0.000 0.000 0.500
Y: 0.000 0.500 0.000
Y: 0.000 0.500 0.201
Y: 0.000 0.500 0.403
Y: 0.000 0.500 0.597
Y: 0.000 0.500 0.799
Y: 0.500 0.000 0.000
Y: 0.500 0.000 0.201
Y: 0.500 0.000 0.403
Y: 0.500 0.000 0.597
Y: 0.500 0.000 0.799
Y: 0.500 0.500 0.101
Y: 0.500 0.500 0.302
Y: 0.500 0.500 0.500
Y: 0.500 0.500 0.698
Y: 0.500 0.500 0.899



Entry 3:
The following is a DFT calculation (GGA-PBE) of a relaxed structure of La7DyY12.

Summary:
Density = 5.220 g/cm³

Unit cell a=8.902 b=8.902 c=8.902 alpha=85.93 beta=85.93 gamma=85.93
Element x y z (fractional)
La: 0.000 0.000 0.000
La: 0.106 0.415 0.339
La: 0.339 0.106 0.415
La: 0.415 0.339 0.106
La: 0.585 0.661 0.894
La: 0.661 0.894 0.585
La: 0.894 0.585 0.661
Dy: 0.500 0.500 0.500
Y: 0.002 0.884 0.363
Y: 0.116 0.637 0.998
Y: 0.228 0.358 0.750
Y: 0.250 0.772 0.642
Y: 0.358 0.750 0.228
Y: 0.363 0.002 0.884
Y: 0.637 0.998 0.116
Y: 0.642 0.250 0.772
Y: 0.750 0.228 0.358
Y: 0.772 0.642 0.250
Y: 0.884 0.363 0.002
Y: 0.998 0.116 0.637



| no. | DFT total energy (eV/atom) | formation energy (eV/atom) |
| --- | --- | --- |
| 1 | -5.33 | 0.320 |
| 2 | -6.03 | 0.030 |
| 3 | -5.61 | 0.221 |